Entry 1:
Tm8Ga3Te4Au | PBE-GGA | relaxed

Computed properties:
* energy: -4.701 eV/atom

Lattice parameters (Å, degrees): 8.1574 8.1574 22.2254 90.00 90.00 120.00
With the nearest neighbours (Å) after each atom.
Space group R-3m (No. 166, hexagonal axes)
Asymmetric unit:
Tm (0.0000, 0.0000, 0.2439) [6 per cell]  3 Ga 2.91, 3 Te 3.08
Tm (0.0021, 0.5010, 0.7563) [18 per cell]  2 Ga 2.91, 1 Au 2.92, 3 Te 3.07-3.09
Ga (0.0000, 0.5000, 0.5000) [9 per cell]  6 Tm 2.91
Te (0.0000, 0.0000, 0.0000) [3 per cell]  6 Tm 3.07
Te (0.0000, 0.5000, 0.0000) [9 per cell]  6 Tm 3.08-3.09
Au (0.0000, 0.0000, 0.5000) [3 per cell]  6 Tm 2.92

=====

Entry 2:
ThGa4Au4 | PBE-GGA | relaxed

Computed properties:
* DFT formation energy: -293 kJ/mol of formula units

Lattice parameters (Å, degrees): 8.8354 8.8354 4.5927 90.00 90.00 90.00
With the nearest neighbours (Å) after each atom.
Space group I4/m (No. 87)
Asymmetric unit:
Th (0.0000, 0.0000, 0.0000) [2 per cell]  4 Au 3.17, 8 Ga 3.22
Ga (0.1273, 0.2211, 0.5000) [8 per cell]  3 Au 2.61-2.73
Au (0.0721, 0.3512, 0.0000) [8 per cell]  3 Ga 2.61-2.73, 1 Au 2.92

=====

Entry 3:
ThGa12Au6 | PBE-GGA | relaxed

Computed properties:
* DFT formation energy: -280 kJ/mol of formula units

Lattice parameters (Å, degrees): 11.9816 11.9816 8.9526 90.00 90.00 120.00
With the nearest neighbours (Å) after each atom.
Space group R-3m (No. 166, hexagonal axes)
Asymmetric unit:
Th (0.0000, 0.0000, 0.0000) [3 per cell]  6 Ga 3.18
Ga (0.0000, 0.3911, 0.5000) [18 per cell]  3 Ga 2.61-2.89, 4 Au 2.65-2.77
Ga (0.0808, 0.1615, 0.3018) [18 per cell]  4 Au 2.70-2.89, 4 Ga 2.89-2.90
Au (0.0461, 0.5231, 0.2330) [18 per cell]  8 Ga 2.65-2.89

=====

Number 1: calculated volume 1280.8 Å³ per cell, magnetic moment 0.00 μB per formula unit. Number 2: calculated volume 358.5 Å³ per cell, magnetic moment 0.00 μB per formula unit. Number 3: calculated volume 1113.0 Å³ per cell, magnetic moment 0.00 μB per formula unit.